Entry 1:
# PrAsF (PBE-GGA, optimized geometry)
# Polymorph energy (0 for the lowest one) (eV/atom): 0.354
# Spin magnetization (μB per atom): 0.0000
data_PrAsF
_chemical_formula_sum 'Pr2 As2 F2'
_cell_length_a 3.4008
_cell_length_b 3.4008
_cell_length_c 10.7140
_cell_angle_alpha 90.00
_cell_angle_beta 90.00
_cell_angle_gamma 90.00
_space_group_name_H-M_alt 'I 4 m m'
_space_group_IT_number 107
_space_group_name_Hall 'I 4 -2'
loop_
_atom_site_label
_atom_site_fract_x
_atom_site_fract_y
_atom_site_fract_z
_atom_site_occupancy
Pr1 0.0000 0.0000 0.0000 1
As1 0.0000 0.0000 0.2974 1
F1 0.0000 0.0000 0.5763 1


Entry 2:
# PrAsF (PBE-GGA, optimized geometry)
# Polymorph energy (0 for the lowest one) (eV/atom): 0.103
# Spin magnetization (μB per atom): 0.0000
data_PrAsF
_chemical_formula_sum 'Pr1 As1 F1'
_cell_length_a 4.1073
_cell_length_b 4.1073
_cell_length_c 4.4486
_cell_angle_alpha 90.00
_cell_angle_beta 90.00
_cell_angle_gamma 120.00
_space_group_name_H-M_alt 'P -6 m 2'
_space_group_IT_number 187
_space_group_name_Hall 'P -6 2'
loop_
_atom_site_label
_atom_site_fract_x
_atom_site_fract_y
_atom_site_fract_z
_atom_site_occupancy
Pr1 0.0000 0.0000 0.0000 1
As1 0.6667 0.3333 0.5000 1
F1 0.3333 0.6667 0.0000 1


Entry 3:
# PrAsRhF (PBE-GGA, optimized geometry)
# Raw total energy (eV per atom): -6.636
# Spin magnetization (μB per atom): 0.0000
data_PrAsRhF
_chemical_formula_sum 'Pr2 As2 Rh2 F2'
_cell_length_a 4.0404
_cell_length_b 4.0404
_cell_length_c 8.6675
_cell_angle_alpha 90.00
_cell_angle_beta 90.00
_cell_angle_gamma 90.00
_space_group_name_H-M_alt 'P 4/n m m'
_space_group_IT_number 129
loop_
_space_group_symop_operation_xyz
'x,y,z'
'-x,-y,-z'
'-y+1/2,x,z'
'y+1/2,-x,-z'
'-x+1/2,-y+1/2,z'
'x+1/2,y+1/2,-z'
'y,-x+1/2,z'
'-y,x+1/2,-z'
'x+1/2,-y,-z'
'-x+1/2,y,z'
'-y,-x,-z'
'y,x,z'
'-x,y+1/2,-z'
'x,-y+1/2,z'
'y+1/2,x+1/2,-z'
'-y+1/2,-x+1/2,z'
loop_
_atom_site_label
_atom_site_fract_x
_atom_site_fract_y
_atom_site_fract_z
_atom_site_occupancy
Pr1 0.2500 0.2500 0.1872 1
As1 0.2500 0.2500 0.6707 1
Rh1 0.2500 0.7500 0.5000 1
F1 0.2500 0.7500 0.0000 1


Entry 4:
# PrAsRuF (PBE-GGA, optimized geometry)
# Raw total energy (eV per atom): -7.018
# Spin magnetization (μB per atom): 0.0000
data_PrAsRuF
_chemical_formula_sum 'Pr2 As2 Ru2 F2'
_cell_length_a 4.1459
_cell_length_b 4.1459
_cell_length_c 8.3078
_cell_angle_alpha 90.00
_cell_angle_beta 90.00
_cell_angle_gamma 90.00
_space_group_name_H-M_alt 'P 4/n m m'
_space_group_IT_number 129
loop_
_space_group_symop_operation_xyz
'x,y,z'
'-x,-y,-z'
'-y+1/2,x,z'
'y+1/2,-x,-z'
'-x+1/2,-y+1/2,z'
'x+1/2,y+1/2,-z'
'y,-x+1/2,z'
'-y,x+1/2,-z'
'x+1/2,-y,-z'
'-x+1/2,y,z'
'-y,-x,-z'
'y,x,z'
'-x,y+1/2,-z'
'x,-y+1/2,z'
'y+1/2,x+1/2,-z'
'-y+1/2,-x+1/2,z'
loop_
_atom_site_label
_atom_site_fract_x
_atom_site_fract_y
_atom_site_fract_z
_atom_site_occupancy
Pr1 0.2500 0.2500 0.1883 1
As1 0.2500 0.2500 0.6596 1
Ru1 0.2500 0.7500 0.5000 1
F1 0.2500 0.7500 0.0000 1


Entry 5:
# AsPt2F (PBE-GGA, optimized geometry)
# Polymorph energy (0 for the lowest one) (eV/atom): 0.000
# Spin magnetization (μB per atom): 0.0000
data_AsPt2F
_chemical_formula_sum 'As4 Pt8 F4'
_cell_length_a 6.1117
_cell_length_b 6.1117
_cell_length_c 6.1117
_cell_angle_alpha 90.00
_cell_angle_beta 90.00
_cell_angle_gamma 90.00
_space_group_name_H-M_alt 'F m -3 m'
_space_group_IT_number 225
_space_group_name_Hall '-F 4 2 3'
loop_
_atom_site_label
_atom_site_fract_x
_atom_site_fract_y
_atom_site_fract_z
_atom_site_occupancy
As1 0.0000 0.0000 0.0000 1
Pt1 0.2500 0.2500 0.2500 1
F1 0.0000 0.0000 0.5000 1


Entry 6:
# As2PtF (PBE-GGA, optimized geometry)
# Polymorph energy (0 for the lowest one) (eV/atom): 0.000
# Spin magnetization (μB per atom): 0.0000
data_As2PtF
_chemical_formula_sum 'As8 Pt4 F4'
_cell_length_a 6.1760
_cell_length_b 6.1760
_cell_length_c 6.1760
_cell_angle_alpha 90.00
_cell_angle_beta 90.00
_cell_angle_gamma 90.00
_space_group_name_H-M_alt 'F m -3 m'
_space_group_IT_number 225
_space_group_name_Hall '-F 4 2 3'
loop_
_atom_site_label
_atom_site_fract_x
_atom_site_fract_y
_atom_site_fract_z
_atom_site_occupancy
As1 0.2500 0.2500 0.2500 1
Pt1 0.0000 0.0000 0.0000 1
F1 0.0000 0.0000 0.5000 1


Entry 7:
# As2Pt2F (PBE-GGA, optimized geometry)
# Polymorph energy (0 for the lowest one) (eV/atom): 0.000
# Spin magnetization (μB per atom): 0.0000
data_As2Pt2F
_chemical_formula_sum 'As4 Pt4 F2'
_cell_length_a 7.3702
_cell_length_b 7.3702
_cell_length_c 3.0550
_cell_angle_alpha 90.00
_cell_angle_beta 90.00
_cell_angle_gamma 90.00
_space_group_name_H-M_alt 'P 4/m b m'
_space_group_IT_number 127
_space_group_name_Hall '-P 4 2ab'
loop_
_atom_site_label
_atom_site_fract_x
_atom_site_fract_y
_atom_site_fract_z
_atom_site_occupancy
As1 0.1583 0.3417 0.0000 1
Pt1 0.1371 0.6371 0.5000 1
F1 0.0000 0.0000 0.5000 1


Entry 8:
# As2Pt2F (PBE-GGA, optimized geometry)
# Polymorph energy (0 for the lowest one) (eV/atom): 0.030
# Spin magnetization (μB per atom): 0.0000
data_As2Pt2F
_chemical_formula_sum 'As4 Pt4 F2'
_cell_length_a 4.4349
_cell_length_b 4.4349
_cell_length_c 9.7952
_cell_angle_alpha 90.00
_cell_angle_beta 90.00
_cell_angle_gamma 90.00
_space_group_name_H-M_alt 'I 4/m m m'
_space_group_IT_number 139
_space_group_name_Hall '-I 4 2'
loop_
_atom_site_label
_atom_site_fract_x
_atom_site_fract_y
_atom_site_fract_z
_atom_site_occupancy
As1 0.0000 0.5000 0.2500 1
Pt1 0.0000 0.0000 0.1360 1
F1 0.0000 0.0000 0.5000 1


Entry 9:
# AsPt2F (PBE-GGA, optimized geometry)
# Polymorph energy (0 for the lowest one) (eV/atom): 0.039
# Spin magnetization (μB per atom): 0.0000
data_AsPt2F
_chemical_formula_sum 'As4 Pt8 F4'
_cell_length_a 6.5880
_cell_length_b 6.5880
_cell_length_c 5.8042
_cell_angle_alpha 90.00
_cell_angle_beta 90.00
_cell_angle_gamma 90.00
_space_group_name_H-M_alt 'I -4 2 d'
_space_group_IT_number 122
_space_group_name_Hall 'I -4 2bw'
loop_
_atom_site_label
_atom_site_fract_x
_atom_site_fract_y
_atom_site_fract_z
_atom_site_occupancy
As1 0.0000 0.0000 0.0000 1
Pt1 0.2423 0.2500 0.1250 1
F1 0.0000 0.0000 0.5000 1


Entry 10:
# AsPtF2 (PBE-GGA, optimized geometry)
# Polymorph energy (0 for the lowest one) (eV/atom): 0.563
# Spin magnetization (μB per atom): 0.0000
data_AsPtF2
_chemical_formula_sum 'As4 Pt4 F8'
_cell_length_a 5.9959
_cell_length_b 5.9959
_cell_length_c 5.9959
_cell_angle_alpha 90.00
_cell_angle_beta 90.00
_cell_angle_gamma 90.00
_space_group_name_H-M_alt 'F m -3 m'
_space_group_IT_number 225
_space_group_name_Hall '-F 4 2 3'
loop_
_atom_site_label
_atom_site_fract_x
_atom_site_fract_y
_atom_site_fract_z
_atom_site_occupancy
As1 0.0000 0.0000 0.0000 1
Pt1 0.0000 0.0000 0.5000 1
F1 0.2500 0.2500 0.2500 1


Entry 11:
# As2PtF2 (PBE-GGA, optimized geometry)
# Polymorph energy (0 for the lowest one) (eV/atom): 0.000
# Spin magnetization (μB per atom): 0.0000
data_As2PtF2
_chemical_formula_sum 'As4 Pt2 F4'
_cell_length_a 6.2530
_cell_length_b 6.2530
_cell_length_c 3.9976
_cell_angle_alpha 90.00
_cell_angle_beta 90.00
_cell_angle_gamma 90.00
_space_group_name_H-M_alt 'P 4/m b m'
_space_group_IT_number 127
_space_group_name_Hall '-P 4 2ab'
loop_
_atom_site_label
_atom_site_fract_x
_atom_site_fract_y
_atom_site_fract_z
_atom_site_occupancy
As1 0.1378 0.3622 0.0000 1
Pt1 0.0000 0.0000 0.0000 1
F1 0.1415 0.6415 0.5000 1


Entry 12:
# AsPtF2 (PBE-GGA, optimized geometry)
# Polymorph energy (0 for the lowest one) (eV/atom): 0.021
# Spin magnetization (μB per atom): 0.2229
data_AsPtF2
_chemical_formula_sum 'As3 Pt3 F6'
_cell_length_a 2.7686
_cell_length_b 2.7686
_cell_length_c 27.3617
_cell_angle_alpha 90.00
_cell_angle_beta 90.00
_cell_angle_gamma 120.00
_space_group_name_H-M_alt 'R -3 m'
_space_group_IT_number 166
_space_group_name_Hall '-R 3 2"'
loop_
_atom_site_label
_atom_site_fract_x
_atom_site_fract_y
_atom_site_fract_z
_atom_site_occupancy
As1 0.0000 0.0000 0.0000 1
Pt1 0.0000 0.0000 0.5000 1
F1 0.0000 0.0000 0.0677 1